1.
Below is BaHg2I after structural relaxation, with properties calculated at the GGA-PBE level.

Cell and atoms, written as POSCAR:
```
BaHg2I
1.0
-0.187 -3.378 9.122
6.720 -6.642 -2.322
5.724 -2.825 4.260
Hg Ba I
4 2 2
direct
0.123 0.625 0.250
0.627 0.125 0.250
0.875 0.877 0.750
0.375 0.373 0.750
0.750 0.250 0.500
0.000 0.000 0.000
0.500 0.500 0.000
0.250 0.750 0.500
```

Symmetry: No. 122
DFT total energy: -1.668 eV per atom

***

2.
Below is BaHgI2 after structural relaxation, with properties calculated at the GGA-PBE level.

Cell and atoms, written as POSCAR:
```
BaHgI2
1.0
4.708 0.000 0.000
0.000 5.774 0.000
0.000 0.000 5.774
I Ba Hg
2 1 1
direct
0.000 0.000 0.500
0.000 0.500 0.000
0.500 0.000 0.000
0.500 0.500 0.500
```

Symmetry: No. 123
DFT total energy: -2.512 eV per atom